Material: PWI2
Method: DFT, PBE
State: optimized geometry

Cell lengths 4.900, 4.900, 4.900 Å; angles 60.00, 60.00, 60.00 degrees
Positions (direct):
1 I 0.250 0.250 0.250
2 I 0.750 0.750 0.750
3 P 0.000 0.000 0.000
4 W 0.500 0.500 0.500

Values from the calculation:
Relative energy among the computed polymorphs   21.89 kcal/mol of atoms
N(E_F)   2.4 states/eV/f.u.
Total energy   -3.995 eV/atom
Uncorrected formation energy   1.370 eV per atom



Material: GdErCdRu
Method: DFT, PBE
State: optimized geometry

Cell lengths 5.036, 5.036, 5.036 Å; angles 60.00, 60.00, 60.00 degrees
Each line ends with the local moment (μB).
Positions (direct):
1 Cd 0.250 0.250 0.250  0.00
2 Gd 0.500 0.500 0.500  7.04
3 Ru 0.750 0.750 0.750  -0.14
4 Er 0.000 0.000 0.000  0.04

Values from the calculation:
N(E_F)   3.6 states/eV/f.u.
Total energy   -7.490 eV/atom



Material: Y3TiIn3Se8
Method: DFT, PBE
State: optimized geometry

Cell lengths 8.071, 8.070, 8.988 Å; angles 116.68, 90.00, 120.00 degrees
Positions (direct):
1 Y 0.500 0.000 0.500
2 Y 0.500 0.500 0.500
3 Y 0.000 0.500 0.500
4 Ti 0.000 0.000 0.500
5 In 0.000 0.000 0.000
6 In 0.000 0.500 0.000
7 In 0.500 0.500 0.000
8 Se 0.262 0.524 0.286
9 Se 0.738 0.476 0.714
10 Se 0.780 0.560 0.299
11 Se 0.220 0.440 0.701
12 Se 0.780 0.019 0.299
13 Se 0.220 0.981 0.701
14 Se 0.239 0.019 0.299
15 Se 0.761 0.981 0.701

Values from the calculation:
N(E_F)   0.7 states/eV/f.u.
Total energy   -5.475 eV/atom
Uncorrected formation energy   -1.250 eV per atom



Material: LiPmBr4
Method: DFT, PBE
State: optimized geometry

Cell lengths 4.222, 7.016, 7.106 Å; angles 94.88, 90.00, 90.00 degrees
Positions (direct):
1 Li 0.500 0.000 0.500
2 Pm 0.000 0.000 0.000
3 Br 0.000 0.790 0.324
4 Br 0.500 0.236 0.182
5 Br 0.500 0.764 0.818
6 Br 0.000 0.210 0.676

Values from the calculation:
Relative energy among the computed polymorphs   0.00 kcal/mol of atoms
N(E_F)   0.0 states/eV/f.u.
Total energy   -3.961 eV/atom
Uncorrected formation energy   -1.735 eV per atom



Material: Tl4TeSe4
Method: DFT, PBE
State: optimized geometry

Cell lengths 4.241, 7.472, 9.665 Å; angles 77.64, 77.33, 73.51 degrees
Positions (direct):
1 Tl 0.688 0.391 0.233
2 Tl 0.914 0.775 0.398
3 Tl 0.312 0.609 0.767
4 Tl 0.086 0.225 0.602
5 Te 0.500 0.000 0.000
6 Se 0.323 0.066 0.289
7 Se 0.677 0.934 0.711
8 Se 0.898 0.270 0.935
9 Se 0.102 0.730 0.065

Values from the calculation:
Relative energy among the computed polymorphs   0.00 kcal/mol of atoms
N(E_F)   0.4 states/eV/f.u.
Total energy   -3.239 eV/atom
Uncorrected formation energy   -0.290 eV per atom



Material: CdSbPb
Method: DFT, PBE
State: optimized geometry

Cell lengths 8.101, 7.922, 3.369 Å; angles 80.85, 74.91, 24.24 degrees
Positions (direct):
1 Pb 0.340 0.340 0.660
2 Sb 0.657 0.657 0.343
3 Cd 0.003 0.003 0.997

Values from the calculation:
N(E_F)   1.5 states/eV/f.u.
Total energy   -2.801 eV/atom
Uncorrected formation energy   0.114 eV per atom



Material: Li5B2S5
Method: DFT, PBE
State: optimized geometry

Cell lengths 3.414, 5.959, 9.487 Å; angles 107.97, 90.00, 106.64 degrees
Positions (direct):
1 Li 0.500 0.000 0.500
2 Li 0.649 0.297 0.049
3 Li 0.754 0.507 0.368
4 Li 0.246 0.493 0.632
5 Li 0.351 0.703 0.951
6 B 0.040 0.080 0.787
7 B 0.960 0.920 0.213
8 S 0.105 0.210 0.377
9 S 0.642 0.283 0.791
10 S 0.358 0.717 0.209
11 S 0.895 0.790 0.623
12 S 0.000 0.000 0.000

Values from the calculation:
N(E_F)   1.6 states/eV/f.u.
Total energy   -4.327 eV/atom
Uncorrected formation energy   -0.696 eV per atom



Material: K3Sc2F9
Method: DFT, PBE
State: optimized geometry

Cell lengths 7.726, 7.726, 7.726 Å; angles 86.32, 86.32, 86.32 degrees
Positions (direct):
1 K 0.414 0.750 0.086
2 K 0.250 0.914 0.586
3 K 0.914 0.586 0.250
4 K 0.086 0.414 0.750
5 K 0.750 0.086 0.414
6 K 0.586 0.250 0.914
7 Sc 0.142 0.142 0.142
8 Sc 0.642 0.642 0.642
9 Sc 0.858 0.858 0.858
10 Sc 0.358 0.358 0.358
11 F 0.740 0.923 0.078
12 F 0.077 0.922 0.260
13 F 0.250 0.392 0.108
14 F 0.577 0.760 0.422
15 F 0.608 0.892 0.750
16 F 0.892 0.750 0.608
17 F 0.240 0.578 0.423
18 F 0.578 0.423 0.240
19 F 0.922 0.260 0.077
20 F 0.078 0.740 0.923
21 F 0.422 0.577 0.760
22 F 0.392 0.108 0.250
23 F 0.760 0.422 0.577
24 F 0.108 0.250 0.392
25 F 0.423 0.240 0.578
26 F 0.750 0.608 0.892
27 F 0.923 0.078 0.740
28 F 0.260 0.077 0.922

Values from the calculation:
N(E_F)   0.0 states/eV/f.u.
Total energy   -5.814 eV/atom
Uncorrected formation energy   -3.472 eV per atom



- The lowest total energy belongs to which entry?
  GdErCdRu



- Among the records above, which one has the highest N(E_F)?
  GdErCdRu